Ac2SnPt, optimized geometry, DFT GGA-PBE; calculated density = 10.4 g/cm3; N(E_F) = 3.12 states/eV/f.u.; DFT formation energy = -0.820 eV per atom
1.0
3.841 0.000 0.000
0.000 3.841 0.000
0.000 0.000 8.279
Ac Sn Pt
2 1 1
direct
0.000 0.000 0.220
0.000 0.000 0.780
0.500 0.500 0.500
0.500 0.500 0.000